# 1
{"formula": "KMgIrW", "functional": "PBE", "state": "relaxed", "lattice_angstrom": [[6.829, 0.000, 0.000], [0.000, 6.829, 0.000], [0.000, 0.000, 6.829]], "species": ["K", "K", "K", "K", "Mg", "Mg", "Mg", "Mg", "Ir", "Ir", "Ir", "Ir", "W", "W", "W", "W"], "fractional_positions": [[0.000, 0.000, 0.000], [0.000, 0.500, 0.500], [0.500, 0.000, 0.500], [0.500, 0.500, 0.000], [0.000, 0.000, 0.500], [0.000, 0.500, 0.000], [0.500, 0.000, 0.000], [0.500, 0.500, 0.500], [0.250, 0.250, 0.750], [0.250, 0.750, 0.250], [0.750, 0.250, 0.250], [0.750, 0.750, 0.750], [0.250, 0.250, 0.250], [0.250, 0.750, 0.750], [0.750, 0.250, 0.750], [0.750, 0.750, 0.250]], "spacegroup": "F-43m, No. 216"}

***

# 2
{"formula": "ErTmTa2C4", "functional": "PBE", "state": "relaxed", "lattice_angstrom": [[3.313, 0.000, 0.000], [-1.657, 2.869, 0.000], [0.000, 0.000, 10.832]], "species": ["Er", "Tm", "Ta", "Ta", "C", "C", "C", "C"], "fractional_positions": [[0.000, 0.000, 0.000], [0.000, 0.000, 0.500], [0.333, 0.667, 0.251], [0.667, 0.333, 0.749], [0.333, 0.667, 0.639], [0.333, 0.667, 0.859], [0.667, 0.333, 0.141], [0.667, 0.333, 0.361]], "spacegroup": "P-3m1, No. 164"}

***

# 3
{"formula": "Pr3InSe6", "functional": "PBE", "state": "relaxed", "lattice_angstrom": [[14.496, 0.000, 0.000], [0.000, 17.718, 0.000], [0.000, 0.000, 4.169]], "species": ["Pr", "Pr", "Pr", "Pr", "Pr", "Pr", "Pr", "Pr", "Pr", "Pr", "Pr", "Pr", "In", "In", "In", "In", "Se", "Se", "Se", "Se", "Se", "Se", "Se", "Se", "Se", "Se", "Se", "Se", "Se", "Se", "Se", "Se", "Se", "Se", "Se", "Se", "Se", "Se", "Se", "Se"], "fractional_positions": [[0.042, 0.223, 0.000], [0.186, 0.646, 0.000], [0.248, 0.895, 0.500], [0.252, 0.395, 0.000], [0.314, 0.146, 0.500], [0.458, 0.723, 0.500], [0.542, 0.277, 0.500], [0.686, 0.854, 0.500], [0.748, 0.605, 0.000], [0.752, 0.105, 0.500], [0.814, 0.354, 0.000], [0.958, 0.777, 0.000], [0.000, 0.000, 0.500], [0.000, 0.500, 0.500], [0.500, 0.000, 0.000], [0.500, 0.500, 0.000], [0.023, 0.397, 0.000], [0.094, 0.915, 0.000], [0.111, 0.749, 0.500], [0.113, 0.114, 0.500], [0.182, 0.285, 0.500], [0.190, 0.519, 0.500], [0.310, 0.019, 0.000], [0.318, 0.785, 0.000], [0.387, 0.614, 0.000], [0.389, 0.249, 0.000], [0.406, 0.415, 0.500], [0.477, 0.897, 0.500], [0.523, 0.103, 0.500], [0.594, 0.585, 0.500], [0.611, 0.751, 0.000], [0.613, 0.386, 0.000], [0.682, 0.215, 0.000], [0.690, 0.981, 0.000], [0.810, 0.481, 0.500], [0.818, 0.715, 0.500], [0.887, 0.886, 0.500], [0.889, 0.251, 0.500], [0.906, 0.085, 0.000], [0.977, 0.603, 0.000]], "spacegroup": "Pnnm, No. 58"}

***

# 4
{"formula": "TaTcC2", "functional": "PBE", "state": "relaxed", "lattice_angstrom": [[3.102, 0.000, 0.000], [0.000, 3.102, 0.000], [0.000, 0.000, 4.460]], "species": ["Ta", "Tc", "C", "C"], "fractional_positions": [[0.000, 0.000, 0.000], [0.500, 0.500, 0.500], [0.000, 0.000, 0.500], [0.500, 0.500, 0.000]], "spacegroup": "P4/mmm, No. 123"}

***

# 5
{"formula": "K3NaBi2Au2", "functional": "PBE", "state": "relaxed", "lattice_angstrom": [[6.406, 0.000, 0.000], [0.000, 6.540, 0.000], [-1.876, 0.000, 6.494]], "species": ["K", "K", "K", "Na", "Bi", "Bi", "Au", "Au"], "fractional_positions": [[0.000, 0.000, 0.000], [0.027, 0.500, 0.297], [0.367, 0.000, 0.670], [0.665, 0.500, 0.626], [0.248, 0.500, 0.856], [0.794, 0.000, 0.445], [0.510, 0.256, 0.167], [0.510, 0.744, 0.167]], "spacegroup": "Pm, No. 6"}

***

# 6
{"formula": "Ag2TeO3", "functional": "PBE", "state": "relaxed", "lattice_angstrom": [[2.649, -5.180, 0.000], [2.649, 5.180, 0.000], [-0.255, 0.000, 7.866]], "species": ["Ag", "Ag", "Ag", "Ag", "Te", "Te", "O", "O", "O", "O", "O", "O"], "fractional_positions": [[0.088, 0.359, 0.107], [0.359, 0.088, 0.107], [0.641, 0.912, 0.893], [0.912, 0.641, 0.893], [0.264, 0.264, 0.667], [0.736, 0.736, 0.333], [0.093, 0.093, 0.326], [0.187, 0.467, 0.819], [0.467, 0.187, 0.819], [0.533, 0.813, 0.181], [0.813, 0.533, 0.181], [0.907, 0.907, 0.674]], "spacegroup": "C2/m, No. 12"}

***

# 7
{"formula": "Nd3Si4Pt", "functional": "PBE", "state": "relaxed", "lattice_angstrom": [[5.849, 0.000, 0.000], [0.000, 3.899, 0.000], [-1.299, 0.000, 7.734]], "species": ["Nd", "Nd", "Nd", "Si", "Si", "Si", "Si", "Pt"], "fractional_positions": [[0.000, 0.000, 0.000], [0.157, 0.000, 0.473], [0.480, 0.500, 0.862], [0.301, 0.500, 0.211], [0.561, 0.000, 0.198], [0.685, 0.000, 0.641], [0.963, 0.500, 0.708], [0.640, 0.500, 0.440]], "spacegroup": "Pm, No. 6"}

***

# 8
{"formula": "Zn2Sn", "functional": "PBE", "state": "relaxed", "lattice_angstrom": [[0.000, 3.868, 3.868], [3.868, 0.000, 3.868], [3.868, 3.868, 0.000]], "species": ["Zn", "Zn", "Zn", "Zn", "Sn", "Sn"], "fractional_positions": [[0.000, 0.000, 0.000], [0.000, 0.000, 0.500], [0.000, 0.500, 0.000], [0.500, 0.000, 0.000], [0.375, 0.375, 0.375], [0.625, 0.625, 0.625]], "spacegroup": "Fd-3m, No. 227"}

***

no.,calculated density (g/cm3),VASP energy (eV/atom)
1,9.167,-4.509
2,12.032,-9.150
3,6.274,-5.360
4,11.722,-10.110
5,5.811,-2.818
6,6.020,-4.477
7,6.967,-5.949
8,7.161,-2.088